Density functional theory data (GGA-PBE) for a relaxed structure of SrY2Ru.

Lattice parameters (Å, degrees): 5.2601 5.2601 5.2601 60.00 60.00 60.00
Sites, in units of the cell vectors:
Y  0.2500  0.2500  0.2500
Y  0.7500  0.7500  0.7500
Ru  0.5000  0.5000  0.5000
Sr  0.0000  0.0000  0.0000

Results
ΔE_f: 0.236 eV per atom
final energy: -5.74 eV per atom

---

Density functional theory data (GGA-PBE) for a relaxed structure of YHo7Tm5.

Lattice parameters (Å, degrees): 6.6020 8.6174 8.6174 80.45 67.48 67.48
Sites, in units of the cell vectors:
Y  0.9638  0.0362  0.0362
Ho  0.5797  0.4203  0.4203
Ho  0.2742  0.7258  0.7258
Ho  0.0175  0.3132  0.6519
Ho  0.0175  0.6519  0.3132
Ho  0.2700  0.2300  0.2300
Ho  0.5185  0.8072  0.1558
Ho  0.5185  0.1558  0.8072
Tm  0.5346  0.0024  0.4598
Tm  0.0032  0.0024  0.4598
Tm  0.5346  0.4598  0.0024
Tm  0.0032  0.4598  0.0024
Tm  0.7647  0.7353  0.7353

Results
ΔE_f: 0.254 eV per atom
final energy: -4.43 eV per atom

---

Density functional theory data (GGA-PBE) for a relaxed structure of SmThAlPd.

Lattice parameters (Å, degrees): 5.1960 5.1960 5.1960 60.00 60.00 60.00
Sites, in units of the cell vectors:
Pd  0.7500  0.7500  0.7500
Sm  0.0000  0.0000  0.0000
Th  0.5000  0.5000  0.5000
Al  0.2500  0.2500  0.2500

Results
ΔE_f: -0.401 eV per atom
final energy: -5.67 eV per atom

---

Density functional theory data (GGA-PBE) for a relaxed structure of Y5HoAs6.

Lattice parameters (Å, degrees): 7.1354 7.1396 7.1367 59.99 80.40 70.52
Sites, in units of the cell vectors:
Y  0.5000  0.1669  0.6662
Y  0.0000  0.3334  0.3332
Y  0.5000  0.5000  0.0000
Y  0.0000  0.6666  0.6668
Y  0.5000  0.8331  0.3338
As  0.7506  0.0831  0.3324
As  0.2494  0.5845  0.3324
As  0.2494  0.2491  0.0000
As  0.7506  0.7509  0.0000
As  0.7506  0.4155  0.6676
As  0.2494  0.9169  0.6676
Ho  0.0000  0.0000  0.0000

Results
ΔE_f: -1.553 eV per atom
final energy: -6.95 eV per atom

---

Density functional theory data (GGA-PBE) for a relaxed structure of Al2MoW2.

Lattice parameters (Å, degrees): 6.7647 6.7647 3.3672 90.00 90.00 90.00
Sites, in units of the cell vectors:
Mo  0.0000  0.0000  0.0000
Mo  0.5000  0.5000  0.0000
Al  0.3701  0.8701  0.0000
Al  0.8701  0.6299  0.0000
Al  0.6299  0.1299  0.0000
Al  0.1299  0.3701  0.0000
W  0.1696  0.6696  0.5000
W  0.6696  0.8304  0.5000
W  0.8304  0.3304  0.5000
W  0.3304  0.1696  0.5000

Results
ΔE_f: 0.170 eV per atom
final energy: -8.67 eV per atom

---

Density functional theory data (GGA-PBE) for a relaxed structure of Tb6PmHo2Er.

Lattice parameters (Å, degrees): 9.5337 8.7824 8.7824 117.70 93.69 93.69
Sites, in units of the cell vectors:
Tb  0.0561  0.1223  0.7521
Tb  0.4439  0.2479  0.8777
Tb  0.9439  0.8777  0.2479
Tb  0.5561  0.7521  0.1223
Tb  0.3161  0.9842  0.4344
Tb  0.1839  0.5656  0.0158
Tb  0.6839  0.0158  0.5656
Tb  0.8161  0.4344  0.9842
Tb  0.1190  0.7082  0.4913
Tb  0.3810  0.5087  0.2918
Tb  0.8810  0.2918  0.5087
Tb  0.6190  0.4913  0.7082
Pm  0.2500  0.9748  0.0252
Pm  0.7500  0.0252  0.9748
Ho  0.4540  0.8001  0.6963
Ho  0.0460  0.3037  0.1999
Ho  0.5460  0.1999  0.3037
Ho  0.9540  0.6963  0.8001
Er  0.2500  0.4096  0.5904
Er  0.7500  0.5904  0.4096

Results
ΔE_f: 0.119 eV per atom
final energy: -4.51 eV per atom